## YOsPtC2 (PBE)

Data for crystalline YOsPtC2 at its relaxed geometry.

Unit cell a=4.265 b=4.265 c=5.154 alpha=90.00 beta=90.00 gamma=90.00
Space group P4/mmm (No. 123)
Symmetry-distinct sites (fractional):
Y (0.000, 0.000, 0.000) (multiplicity 1)
Os (0.500, 0.500, 0.500) (multiplicity 1)
Pt (0.000, 0.000, 0.500) (multiplicity 1)
C (0.000, 0.500, 0.000) (multiplicity 2)

Calculated values
Formation enthalpy at 0 K, meV per atom: 2945
Uncorrected energy, eV per cell: -27.46